Version w
Here is an optimized crystal structure of NbGeSN2 from the Alexandria database. Energies are from GGA-PBE.

abc: 3.7680 3.7680 4.6929
angles: 90.00 90.00 90.00
Positions (direct):
Nb (0.0000, 0.0000, 0.0000)
Ge (0.5000, 0.5000, 0.5000)
S (0.5000, 0.5000, 0.0000)
N (0.0000, 0.5000, 0.5000)
N (0.5000, 0.0000, 0.5000)

Computed properties:
Magnetic moment   0.909 μB/cell


Version x
Here is an optimized crystal structure of NbGeSN2 from the Alexandria database. Energies are from GGA-PBE.

abc: 4.0174 4.0174 5.1607
angles: 90.00 90.00 90.00
Positions (direct):
Nb (0.0000, 0.0000, 0.0000)
Ge (0.5000, 0.5000, 0.5000)
S (0.0000, 0.0000, 0.5000)
N (0.0000, 0.5000, 0.0000)
N (0.5000, 0.0000, 0.0000)

Computed properties:
Magnetic moment   0.400 μB/cell


Least stable structure among those shown: version w.